No. 1
Material: HgGeNO
Method: DFT, PBE
State: optimized geometry

a b c (Å): 4.288 4.288 6.376
angles (deg): 90.00 90.00 90.00
Space group P4/nmm (No. 129, origin choice 2)
One atom of each set of equivalent atoms:
Hg  0.250  0.250  0.125
Ge  0.250  0.750  0.500
N  0.250  0.250  0.510
O  0.250  0.750  0.000

Calculated values
* total DFT energy (no corrections): -4.13 eV/atom
* volume: 117 Å³ per cell

=====

No. 2
Material: NaHgGe
Method: DFT, PBE
State: optimized geometry

a b c (Å): 6.694 6.694 6.694
angles (deg): 90.00 90.00 90.00
Space group F-43m (No. 216)
One atom of each set of equivalent atoms:
Na  0.000  0.000  0.000
Hg  0.250  0.250  0.750
Ge  0.000  0.000  0.500

Calculated values
* total DFT energy (no corrections): -2.05 eV/atom
* volume: 300 Å³ per cell

=====

No. 3
Material: NaHgGe
Method: DFT, PBE
State: optimized geometry

a b c (Å): 6.731 6.731 6.731
angles (deg): 90.00 90.00 90.00
Space group F-43m (No. 216)
One atom of each set of equivalent atoms:
Na  0.000  0.000  0.000
Hg  0.250  0.250  0.250
Ge  0.250  0.250  0.750

Calculated values
* total DFT energy (no corrections): -1.75 eV/atom
* volume: 305 Å³ per cell

=====

The highest total DFT energy (no corrections) belongs to which entry? number 3

=====

Look up the total DFT energy (no corrections) of the second one. -2.05 eV/atom